No. 1
Pu2UGe2Pt2: optimized geometry, PBE.

Cell: 4.552 4.552 8.591 Å, 74.64 74.64 60.00°
Element x y z (fractional)
1 Pt 0.397 0.397 0.810
2 Pt 0.603 0.603 0.190
3 U 0.000 0.000 0.000
4 Pu 0.129 0.129 0.613
5 Pu 0.871 0.871 0.387
6 Ge 0.262 0.262 0.214
7 Ge 0.738 0.738 0.786

The formation energy comes out at -3.90 eV per formula unit. Its total magnetization is 13.652 μB/f.u. As for the raw total energy: -9.310 eV/atom.

No. 2
Pu2VGe3Pt4: optimized geometry, PBE.

Cell: 4.194 4.194 10.653 Å, 90.00 90.00 90.00°
Element x y z (fractional)
1 Pt 0.500 0.500 0.000
2 Pt 0.500 0.000 0.631
3 Pt 0.000 0.000 0.000
4 Pt 0.000 0.500 0.369
5 Ge 0.500 0.000 0.862
6 Ge 0.000 0.500 0.138
7 Ge 0.000 0.000 0.500
8 Pu 0.500 0.000 0.250
9 Pu 0.000 0.500 0.750
10 V 0.500 0.500 0.500

The formation energy comes out at -6.41 eV per formula unit. Its total magnetization is 10.592 μB/f.u. As for the raw total energy: -8.221 eV/atom.